Below is crystalline Sc2Mo3Ir2 at its relaxed geometry, with properties calculated at the GGA-PBE level.

Properties
- Space-group type: No. 160
- Final energy: -62.3 eV/f.u.
- Calculated volume: 17.4 Å³ per atom
- ΔH_f (0 K): 91 meV per atom

Lattice parameters (Å, degrees): 7.619 7.619 7.619 33.74 33.74 33.74
Positions (direct):
Sc (0.000, 0.000, 0.000)
Sc (0.484, 0.484, 0.484)
Mo (0.365, 0.365, 0.365)
Mo (0.611, 0.611, 0.611)
Mo (0.865, 0.865, 0.865)
Ir (0.243, 0.243, 0.243)
Ir (0.746, 0.746, 0.746)



Below is crystalline SiMoIr2 at its relaxed geometry, with properties calculated at the GGA-PBE level.

Properties
- Space-group type: No. 216
- Final energy: -34.2 eV/f.u.
- Calculated volume: 14.5 Å³ per atom

Lattice parameters (Å, degrees): 6.148 6.148 6.148 90.00 90.00 90.00
Positions (direct):
Si (0.000, 0.000, 0.000)
Si (0.000, 0.500, 0.500)
Si (0.500, 0.000, 0.500)
Si (0.500, 0.500, 0.000)
Mo (0.250, 0.250, 0.250)
Mo (0.250, 0.750, 0.750)
Mo (0.750, 0.250, 0.750)
Mo (0.750, 0.750, 0.250)
Ir (0.000, 0.000, 0.500)
Ir (0.000, 0.500, 0.000)
Ir (0.250, 0.250, 0.750)
Ir (0.250, 0.750, 0.250)
Ir (0.500, 0.000, 0.000)
Ir (0.500, 0.500, 0.500)
Ir (0.750, 0.250, 0.250)
Ir (0.750, 0.750, 0.750)



Below is crystalline SiMo2Ir at its relaxed geometry, with properties calculated at the GGA-PBE level.

Properties
- Space-group type: No. 216
- Final energy: -36.3 eV/f.u.
- Calculated volume: 14.6 Å³ per atom

Lattice parameters (Å, degrees): 6.163 6.163 6.163 90.00 90.00 90.00
Positions (direct):
Si (0.000, 0.000, 0.000)
Si (0.000, 0.500, 0.500)
Si (0.500, 0.000, 0.500)
Si (0.500, 0.500, 0.000)
Mo (0.000, 0.000, 0.500)
Mo (0.000, 0.500, 0.000)
Mo (0.250, 0.250, 0.750)
Mo (0.250, 0.750, 0.250)
Mo (0.500, 0.000, 0.000)
Mo (0.500, 0.500, 0.500)
Mo (0.750, 0.250, 0.250)
Mo (0.750, 0.750, 0.750)
Ir (0.250, 0.250, 0.250)
Ir (0.250, 0.750, 0.750)
Ir (0.750, 0.250, 0.750)
Ir (0.750, 0.750, 0.250)